Record 1
{"formula": "CeZn2SiIr2", "functional": "PBE", "state": "relaxed", "raw_formation_energy_ev_per_atom": -0.2387, "m_tot_mub_per_fu": 1.6, "lattice_angstrom": [[4.5029, 0.0000, 0.0000], [0.0000, 4.5029, 0.0000], [0.0000, 0.0000, 5.6769]], "species": ["Si", "Ir", "Ir", "Zn", "Zn", "Ce"], "fractional_positions": [[0.0000, 0.0000, 0.0000], [0.5000, 0.0000, 0.0000], [0.0000, 0.5000, 0.0000], [0.5000, 0.5000, 0.7291], [0.5000, 0.5000, 0.2709], [0.0000, 0.0000, 0.5000]]}



Record 2
{"formula": "BaCa2As", "functional": "PBE", "state": "relaxed", "m_tot_mub_per_fu": 0.0, "total_energy_ev_per_cell": -12.8, "lattice_angstrom": [[10.9965, 0.0247, 0.0147], [10.0999, 4.3494, 0.0147], [10.0999, 2.0941, 3.8121]], "species": ["Ca", "Ca", "As", "Ba"], "fractional_positions": [[0.2182, 0.2182, 0.2182], [0.9931, 0.9931, 0.9931], [0.5074, 0.5074, 0.5074], [0.7813, 0.7813, 0.7813]]}



Record 3
{"formula": "KTc3F", "functional": "PBE", "state": "relaxed", "relative_energy_ev_per_atom": 0.0000, "raw_formation_energy_ev_per_atom": 1.5509, "m_tot_mub_per_fu": 4.9, "lattice_angstrom": [[4.4569, 0.0000, 0.0000], [0.0000, 4.4569, 0.0000], [0.0000, 0.0000, 4.4569]], "species": ["Tc", "Tc", "Tc", "K", "F"], "fractional_positions": [[0.0000, 0.5000, 0.0000], [0.0000, 0.0000, 0.5000], [0.5000, 0.0000, 0.0000], [0.5000, 0.5000, 0.5000], [0.0000, 0.0000, 0.0000]]}



Record 4
{"formula": "Th2Co12Si7", "functional": "PBE", "state": "relaxed", "raw_formation_energy_ev_per_atom": -0.5852, "m_tot_mub_per_fu": 0.0, "lattice_angstrom": [[3.7090, 0.0000, 0.0000], [0.0000, 7.9738, -4.6037], [0.0000, 0.0000, 9.2074]], "species": ["Co", "Co", "Co", "Co", "Co", "Co", "Co", "Co", "Co", "Co", "Co", "Co", "Si", "Si", "Si", "Si", "Si", "Si", "Si", "Th", "Th"], "fractional_positions": [[0.0000, 0.4662, 0.5235], [0.0000, 0.0573, 0.5338], [0.0000, 0.7745, 0.7289], [0.5000, 0.9013, 0.6100], [0.5000, 0.2179, 0.4430], [0.5000, 0.3900, 0.2913], [0.0000, 0.2711, 0.0456], [0.5000, 0.2251, 0.7821], [0.0000, 0.9544, 0.2255], [0.5000, 0.5570, 0.7749], [0.5000, 0.7087, 0.0987], [0.0000, 0.4765, 0.9427], [0.5000, 0.6295, 0.5714], [0.0000, 0.3333, 0.6667], [0.0000, 0.2307, 0.2790], [0.5000, 0.9419, 0.3705], [0.5000, 0.4286, 0.0581], [0.0000, 0.7210, 0.9516], [0.0000, 0.0484, 0.7693], [0.0000, 0.6667, 0.3333], [0.5000, 0.0000, 0.0000]]}